No. 1
A geometry-optimized TaSi2Br structure, computed with GGA-PBE.

The structure in POSCAR format:
```
TaSi2Br
1.0
6.5535 0.0000 0.0000
0.0000 6.5535 0.0000
0.0000 0.0000 6.5535
Ta Si Br
4 8 4
Direct
0.0000 0.0000 0.0000
0.0000 0.5000 0.5000
0.5000 0.0000 0.5000
0.5000 0.5000 0.0000
0.2500 0.2500 0.2500
0.2500 0.2500 0.7500
0.2500 0.7500 0.2500
0.2500 0.7500 0.7500
0.7500 0.2500 0.2500
0.7500 0.2500 0.7500
0.7500 0.7500 0.2500
0.7500 0.7500 0.7500
0.0000 0.0000 0.5000
0.0000 0.5000 0.0000
0.5000 0.0000 0.0000
0.5000 0.5000 0.5000
```

Output
energy above the most stable polymorph in this dataset: 872 meV/atom
E_form (uncorrected): 85.98 kJ per mole of atoms
crystal system: cubic
space-group type: Fm-3m, No. 225

***

No. 2
A geometry-optimized TaGe2TePd structure, computed with GGA-PBE.

The structure in POSCAR format:
```
TaGe2TePd
1.0
4.6945 0.0000 0.0000
0.0000 4.6945 0.0000
0.0000 0.0000 5.4706
Ta Ge Te Pd
1 2 1 1
Direct
0.0000 0.0000 0.0000
0.0000 0.5000 0.5000
0.5000 0.0000 0.5000
0.5000 0.5000 0.0000
0.5000 0.5000 0.5000
```

Output
E_form (uncorrected): 92.28 kJ per mole of atoms
crystal system: tetragonal
space-group type: P4/mmm, No. 123

***

No. 3
A geometry-optimized Sm3Mg structure, computed with GGA-PBE.

The structure in POSCAR format:
```
Sm3Mg
1.0
4.9801 0.0000 0.0000
0.0000 4.9801 0.0000
0.0000 0.0000 9.9532
Sm Mg
6 2
Direct
0.0000 0.0000 0.0000
0.0000 0.5000 0.2500
0.0000 0.5000 0.7500
0.5000 0.0000 0.2500
0.5000 0.0000 0.7500
0.5000 0.5000 0.5000
0.0000 0.0000 0.5000
0.5000 0.5000 0.0000
```

Output
DFT formation energy: 0.01 eV per atom
crystal system: tetragonal
space-group type: I4/mmm, No. 139